Record 1
AcPrEr4 | GGA-PBE | optimized geometry

The space group is F-43m (No. 216) and the conventional cell measures 9.538, 9.538 and 9.538 Å, with angles of 90.00, 90.00 and 90.00 degrees. The asymmetric unit holds Ac at (0.000, 0.000, 0.000), Pr at (0.250, 0.250, 0.750) and Er at (0.125, 0.125, 0.375).

For the formation energy, the calculation gives 267 meV per atom. As for the density of states at the Fermi level: 46.5 states/eV per cell. Its energy relative to the lowest polymorph listed for this composition is 1.34 eV/f.u. The crystal system is cubic. The value obtained for the uncorrected energy is -4.256 eV/atom.

---

Record 2
Tl2Zn2SbO6 | GGA-PBE | optimized geometry

The space group is R-3m (No. 166, hexagonal axes) and the conventional cell measures 5.9747, 5.9747 and 16.1483 Å, with angles of 90.00, 90.00 and 120.00 degrees. The asymmetric unit holds Tl at (0.0000, 0.0000, 0.2051), Zn at (0.0000, 0.0000, 0.3910), Sb at (0.0000, 0.0000, 0.0000) and O at (0.0290, 0.5145, 0.7448).

As for the density of states at the Fermi level: 17.9 states/eV per cell. The crystal system is trigonal. The value obtained for the uncorrected energy is -4.771 eV/atom. The value obtained for the raw formation energy is -1.0301 eV/atom.

---

Record 3
Cd2AgPtS | GGA-PBE | optimized geometry

The space group is P4/mmm (No. 123) and the conventional cell measures 5.141, 5.141 and 5.141 Å, with angles of 90.00, 90.00 and 90.00 degrees. The asymmetric unit holds Cd at (0.000, 0.500, 0.000), Ag at (0.000, 0.000, 0.500), Pt at (0.000, 0.000, 0.000) and S at (0.500, 0.500, 0.500).

As for the density of states at the Fermi level: 3.9 states/eV per cell. The crystal system is tetragonal. The value obtained for the uncorrected energy is -2.508 eV/atom. The value obtained for the raw formation energy is 0.4617 eV/atom.

---

Record 4
ScPaAgPt | GGA-PBE | optimized geometry

The space group is F-43m (No. 216) and the conventional cell measures 6.976, 6.976 and 6.976 Å, with angles of 90.00, 90.00 and 90.00 degrees. The asymmetric unit holds Sc at (0.000, 0.000, 0.000), Pa at (0.000, 0.000, 0.500), Ag at (0.250, 0.250, 0.250) and Pt at (0.250, 0.250, 0.750).

For the formation energy, the calculation gives -399 meV per atom. As for the density of states at the Fermi level: 29.7 states/eV per cell. The crystal system is cubic. The value obtained for the uncorrected energy is -6.579 eV/atom.

---

Record 5
Tb10Nd4Y | GGA-PBE | optimized geometry

The space group is I4/m (No. 87) and the conventional cell measures 9.785, 9.785 and 11.603 Å, with angles of 90.00, 90.00 and 90.00 degrees. The asymmetric unit holds Tb at (0.000, 0.500, 0.250), Tb at (0.119, 0.228, 0.162), Nd at (0.070, 0.324, 0.500) and Y at (0.000, 0.000, 0.000).

For the formation energy, the calculation gives 418 meV per atom. As for the density of states at the Fermi level: 44.7 states/eV per cell. The crystal system is tetragonal. The value obtained for the uncorrected energy is -4.371 eV/atom.

---

Record 6
TbScMn17 | GGA-PBE | optimized geometry

The space group is R3m (No. 160, hexagonal axes) and the conventional cell measures 8.5898, 8.5898 and 11.5470 Å, with angles of 90.00, 90.00 and 120.00 degrees. The asymmetric unit holds Tb at (0.0000, 0.0000, 0.0000), Sc at (0.0000, 0.0000, 0.7116), Mn at (0.0000, 0.0000, 0.2581), Mn at (0.0000, 0.0000, 0.4596), Mn at (0.0001, 0.5001, 0.8581), Mn at (0.0010, 0.2769, 0.3581), Mn at (0.0159, 0.5080, 0.2220) and Mn at (0.1711, 0.3423, 0.8259).

For the formation energy, the calculation gives -1 meV per atom. As for the density of states at the Fermi level: 55.5 states/eV per cell. The crystal system is trigonal. The value obtained for the uncorrected energy is -8.783 eV/atom.

---

Record 7
KHfPO5 | GGA-PBE | optimized geometry

The space group is C2/c (No. 15) and the conventional cell measures 7.079, 9.199 and 7.596 Å, with angles of 90.00, 116.20 and 90.00 degrees. The asymmetric unit holds K at (0.000, 0.168, 0.250), Hf at (0.000, 0.500, 0.000), P at (0.000, 0.186, 0.750), O at (0.000, 0.437, 0.250), O at (0.076, 0.284, 0.625) and O at (0.183, 0.086, 0.887).

As for the density of states at the Fermi level: 0.0 states/eV per cell. The crystal system is monoclinic. The value obtained for the uncorrected energy is -7.895 eV/atom. The value obtained for the raw formation energy is -2.7381 eV/atom.

---

Record 8
BaAcIn4 | GGA-PBE | optimized geometry

The space group is Imm2 (No. 44) and the conventional cell measures 5.046, 8.170 and 9.342 Å, with angles of 90.00, 90.00 and 90.00 degrees. The asymmetric unit holds Ba at (0.000, 0.000, 0.000), Ac at (0.000, 0.500, 0.111), In at (0.000, 0.190, 0.396) and In at (0.000, 0.310, 0.720).

For the formation energy, the calculation gives -440 meV per atom. As for the density of states at the Fermi level: 9.0 states/eV per cell. Its energy relative to the lowest polymorph listed for this composition is 0.00 eV/f.u. The crystal system is orthorhombic. The value obtained for the uncorrected energy is -3.271 eV/atom.

---

Record 9
BaSrMg2H8 | GGA-PBE | optimized geometry

The space group is P-3 (No. 147) and the conventional cell measures 5.6720, 5.6720 and 8.0182 Å, with angles of 90.00, 90.00 and 120.00 degrees. The asymmetric unit holds Ba at (0.0000, 0.0000, 0.0000), Sr at (0.0000, 0.0000, 0.5000), Mg at (0.3333, 0.6667, 0.7891), H at (0.1446, 0.3159, 0.7201) and H at (0.3333, 0.6667, 0.0199).

As for the density of states at the Fermi level: 0.0 states/eV per cell. The crystal system is trigonal. The value obtained for the uncorrected energy is -3.079 eV/atom.

---

Record 10
RbPbI2 | GGA-PBE | optimized geometry

The space group is Fm-3m (No. 225) and the conventional cell measures 8.591, 8.591 and 8.591 Å, with angles of 90.00, 90.00 and 90.00 degrees. The asymmetric unit holds Rb at (0.000, 0.000, 0.000), Pb at (0.000, 0.000, 0.500) and I at (0.250, 0.250, 0.250).

As for the density of states at the Fermi level: 12.8 states/eV per cell. Its energy relative to the lowest polymorph listed for this composition is 0.05 eV/f.u. The crystal system is cubic. The value obtained for the uncorrected energy is -2.573 eV/atom. The value obtained for the raw formation energy is -0.6290 eV/atom.

---

Record 11
Sr2NbCr | GGA-PBE | optimized geometry

The space group is Fm-3m (No. 225) and the conventional cell measures 7.534, 7.534 and 7.534 Å, with angles of 90.00, 90.00 and 90.00 degrees. The asymmetric unit holds Sr at (0.250, 0.250, 0.250), Nb at (0.000, 0.000, 0.000) and Cr at (0.000, 0.000, 0.500).

For the formation energy, the calculation gives 1669 meV per atom. As for the density of states at the Fermi level: 48.5 states/eV per cell. Its energy relative to the lowest polymorph listed for this composition is 2.68 eV/f.u. The crystal system is cubic. The value obtained for the uncorrected energy is -4.096 eV/atom.

---

Record 12
TbPm3Ho4 | GGA-PBE | optimized geometry

The space group is C2/m (No. 12) and the conventional cell measures 23.554, 3.472 and 6.732 Å, with angles of 90.00, 106.53 and 90.00 degrees. The asymmetric unit holds Tb at (0.000, 0.000, 0.000), Pm at (0.000, 0.500, 0.500), Pm at (0.126, 0.500, 0.372), Ho at (0.125, 0.500, 0.885) and Ho at (0.240, 0.000, 0.233).

For the formation energy, the calculation gives 162 meV per atom. As for the density of states at the Fermi level: 28.4 states/eV per cell. Its energy relative to the lowest polymorph listed for this composition is 1.13 eV/f.u. The crystal system is monoclinic. The value obtained for the uncorrected energy is -4.487 eV/atom.

---

Record 13
RbNbGaIr2 | GGA-PBE | optimized geometry

The space group is P4/mmm (No. 123) and the conventional cell measures 4.756, 4.756 and 4.931 Å, with angles of 90.00, 90.00 and 90.00 degrees. The asymmetric unit holds Rb at (0.000, 0.000, 0.000), Nb at (0.500, 0.500, 0.000), Ga at (0.500, 0.500, 0.500) and Ir at (0.000, 0.500, 0.500).

For the formation energy, the calculation gives 1300 meV per atom. As for the density of states at the Fermi level: 7.6 states/eV per cell. The crystal system is tetragonal. The value obtained for the uncorrected energy is -5.057 eV/atom.

---

Record 14
K4NiCl6 | GGA-PBE | optimized geometry

The space group is P4/mnc (No. 128) and the conventional cell measures 8.551, 8.551 and 8.855 Å, with angles of 90.00, 90.00 and 90.00 degrees. The asymmetric unit holds K at (0.178, 0.322, 0.250), Ni at (0.000, 0.000, 0.000), Cl at (0.000, 0.000, 0.270) and Cl at (0.081, 0.717, 0.000).

The crystal system is tetragonal. The value obtained for the uncorrected energy is -3.485 eV/atom. The value obtained for the raw formation energy is -1.5532 eV/atom.

---

Record 15
BaZnAg2Pd | GGA-PBE | optimized geometry

The space group is P4/mmm (No. 123) and the conventional cell measures 5.270, 5.270 and 4.846 Å, with angles of 90.00, 90.00 and 90.00 degrees. The asymmetric unit holds Ba at (0.000, 0.000, 0.000), Zn at (0.500, 0.500, 0.000), Ag at (0.000, 0.500, 0.500) and Pd at (0.500, 0.500, 0.500).

For the formation energy, the calculation gives -147 meV per atom. As for the density of states at the Fermi level: 2.6 states/eV per cell. The crystal system is tetragonal. The value obtained for the uncorrected energy is -2.966 eV/atom.

---

Record 16
Na2Zn2Pd | GGA-PBE | optimized geometry

The space group is P4/mbm (No. 127) and the conventional cell measures 6.596, 6.596 and 4.874 Å, with angles of 90.00, 90.00 and 90.00 degrees. The asymmetric unit holds Na at (0.182, 0.318, 0.000), Zn at (0.140, 0.640, 0.500) and Pd at (0.000, 0.000, 0.500).

For the formation energy, the calculation gives -101 meV per atom. As for the density of states at the Fermi level: 4.1 states/eV per cell. The crystal system is tetragonal. The value obtained for the uncorrected energy is -2.177 eV/atom.

---

Record 17
Ce12Ir2Pb5 | GGA-PBE | optimized geometry

The space group is C2/m (No. 12) and the conventional cell measures 16.137, 7.984 and 8.687 Å, with angles of 90.00, 94.04 and 90.00 degrees. The asymmetric unit holds Ce at (0.013, 0.000, 0.154), Ce at (0.039, 0.500, 0.298), Ce at (0.139, 0.277, 0.495), Ce at (0.161, 0.263, 0.982), Ir at (0.000, 0.327, 0.000), Pb at (0.000, 0.000, 0.500), Pb at (0.228, 0.000, 0.260) and Pb at (0.245, 0.000, 0.737).

For the formation energy, the calculation gives -301 meV per atom. As for the density of states at the Fermi level: 97.9 states/eV per cell. The crystal system is monoclinic. The value obtained for the uncorrected energy is -5.958 eV/atom.

---

Record 18
RbTc2BO8 | GGA-PBE | optimized geometry

The space group is C2/m (No. 12) and the conventional cell measures 5.351, 5.345 and 12.998 Å, with angles of 90.00, 96.53 and 90.00 degrees. The asymmetric unit holds Rb at (0.000, 0.000, 0.000), Tc at (0.076, 0.500, 0.254), B at (0.000, 0.500, 0.500), O at (0.030, 0.500, 0.115), O at (0.118, 0.500, 0.421) and O at (0.175, 0.249, 0.737).

As for the density of states at the Fermi level: 10.3 states/eV per cell. The crystal system is monoclinic. The value obtained for the uncorrected energy is -7.185 eV/atom. The value obtained for the raw formation energy is -1.5151 eV/atom.

---

Record 19
Y3Cu3Pb4 | GGA-PBE | optimized geometry

The space group is I-43d (No. 220) and the conventional cell measures 9.826, 9.826 and 9.826 Å, with angles of 90.00, 90.00 and 90.00 degrees. The asymmetric unit holds Y at (0.000, 0.250, 0.375), Cu at (0.000, 0.250, 0.875) and Pb at (0.080, 0.080, 0.080).

For the formation energy, the calculation gives -302 meV per atom. As for the density of states at the Fermi level: 26.7 states/eV per cell. The crystal system is cubic. The value obtained for the uncorrected energy is -4.953 eV/atom.

---

Record 20
AcLa6Dy2 | GGA-PBE | optimized geometry

The space group is Cmmm (No. 65) and the conventional cell measures 9.635, 18.164 and 3.759 Å, with angles of 90.00, 90.00 and 90.00 degrees. The asymmetric unit holds Ac at (0.000, 0.000, 0.000), La at (0.170, 0.500, 0.500), La at (0.175, 0.335, 0.000) and Dy at (0.000, 0.184, 0.500).

For the formation energy, the calculation gives 115 meV per atom. As for the density of states at the Fermi level: 29.1 states/eV per cell. The crystal system is orthorhombic. The value obtained for the uncorrected energy is -4.649 eV/atom.

---

Record 21
CaMnAsBr2 | GGA-PBE | optimized geometry

The space group is P4/mmm (No. 123) and the conventional cell measures 5.142, 5.142 and 4.574 Å, with angles of 90.00, 90.00 and 90.00 degrees. The asymmetric unit holds Ca at (0.000, 0.000, 0.000), Mn at (0.500, 0.500, 0.500), As at (0.500, 0.500, 0.000) and Br at (0.000, 0.500, 0.500).

As for the density of states at the Fermi level: 3.8 states/eV per cell. Its energy relative to the lowest polymorph listed for this composition is 0.00 eV/f.u. The crystal system is tetragonal. The value obtained for the uncorrected energy is -4.175 eV/atom. The value obtained for the raw formation energy is -0.3415 eV/atom.

---

Record 22
AlTcMo2 | GGA-PBE | optimized geometry

The space group is Pm (No. 6) and the conventional cell measures 2.723, 4.372 and 5.215 Å, with angles of 90.00, 101.30 and 90.00 degrees. The asymmetric unit holds Al at (0.000, 0.000, 0.000), Tc at (0.258, 0.500, 0.758), Mo at (0.477, 0.000, 0.504) and Mo at (0.683, 0.500, 0.242).

For the formation energy, the calculation gives -105 meV per atom. As for the density of states at the Fermi level: 2.8 states/eV per cell. The crystal system is monoclinic. The value obtained for the uncorrected energy is -9.048 eV/atom.